No. 1
The following is a DFT calculation (PBE) of a relaxed structure of K2ZrTiSe.

Summary:
uncorrected formation energy = 489 kJ/mol of formula units

a b c (Å): 7.016 7.016 5.051
angles (deg): 90.00 90.00 90.00
Sites, in units of the cell vectors:
1 K 0.000 0.500 0.000
2 K 0.500 0.000 0.000
3 Zr 0.000 0.000 0.000
4 Ti 0.500 0.500 0.500
5 Se 0.000 0.000 0.500

---

No. 2
The following is a DFT calculation (PBE) of a relaxed structure of KTlSe2.

Summary:
uncorrected formation energy = -109 kJ/mol of formula units
E above lowest polymorph = 1.49 eV/f.u.

a b c (Å): 6.354 6.354 6.354
angles (deg): 138.32 138.32 60.41
Sites, in units of the cell vectors:
1 K 0.000 0.000 0.000
2 Tl 0.750 0.250 0.500
3 Se 0.250 0.750 0.500
4 Se 0.500 0.500 0.000